(1)
FeCu2W: single point on PBEsol structure, meta-GGA SCAN.

abc: 2.9719 2.9719 5.5725
angles: 90.00 90.00 90.00
Space group P4mm (No. 99)
Inequivalent atoms, fractional coordinates:
Fe 0.0000 0.0000 0.0000 [1 per cell]
Cu 0.0000 0.0000 0.5266 [1 per cell]
Cu 0.5000 0.5000 0.7462 [1 per cell]
W 0.5000 0.5000 0.2351 [1 per cell]

For the energy above the most stable polymorph in this dataset, the calculation gives 13.5 meV per atom. The density of states at the Fermi level comes out at 2.22 states/eV/f.u. The calculation puts the calculated density at 12374 kg/m3.

---

(2)
SrMnCd: single point on PBEsol structure, meta-GGA SCAN.

abc: 4.8013 4.8013 3.9865
angles: 90.00 90.00 120.00
Space group P-6m2 (No. 187)
Inequivalent atoms, fractional coordinates:
Sr 0.0000 0.0000 0.0000 [1 per cell]
Mn 0.6667 0.3333 0.5000 [1 per cell]
Cd 0.3333 0.6667 0.5000 [1 per cell]

For the energy above the most stable polymorph in this dataset, the calculation gives 0.0 meV per atom. The density of states at the Fermi level comes out at 3.32 states/eV/f.u. The calculation puts the calculated density at 5320 kg/m3.

---

(3)
ScMnAu4: single point on PBEsol structure, meta-GGA SCAN.

abc: 7.5918 7.5918 7.5918
angles: 90.00 90.00 90.00
Space group F-43m (No. 216)
Inequivalent atoms, fractional coordinates:
Sc 0.0000 0.0000 0.0000 [4 per cell]
Mn 0.2500 0.2500 0.7500 [4 per cell]
Au 0.1248 0.1248 0.3752 [16 per cell]

As for the total energy: -51.8940 eV/atom. The density of states at the Fermi level comes out at 3.32 states/eV/f.u. The calculation puts the calculated density at 13476 kg/m3.